TcSO2 | PBE-GGA | relaxed

POSCAR file:
```
TcSO2
1.0
1.6404 0.0000 6.5884
-0.8202 1.4207 6.5884
-0.8202 -1.4207 6.5884
Tc O S
1 2 1
Direct
0.5000 0.5000 0.5000 Tc
0.9004 0.9004 0.9004 O
0.0996 0.0996 0.0996 O
0.0000 0.0000 0.0000 S
```

Computed properties:
E_form (uncorrected): -0.42 eV/atom
E_tot: -26.1 eV per cell
relative energy among the computed polymorphs: 0 meV/atom


TcSO6 | PBE-GGA | relaxed

POSCAR file:
```
TcSO6
1.0
5.2254 -0.7732 -0.0722
-2.6617 4.5627 -0.0722
-0.5445 -0.8049 4.4660
S O Tc
1 6 1
Direct
0.5000 0.5000 0.5000 S
0.8235 0.5829 0.7084 O
0.7520 0.7520 0.2558 O
0.5829 0.8235 0.7084 O
0.4171 0.1765 0.2916 O
0.2480 0.2480 0.7442 O
0.1765 0.4171 0.2916 O
0.0000 0.0000 0.0000 Tc
```

Computed properties:
E_form (uncorrected): -0.74 eV/atom
E_tot: -50.2 eV per cell


TcS2O | PBE-GGA | relaxed

POSCAR file:
```
TcS2O
1.0
2.0396 0.0000 5.9971
-1.0198 1.7664 5.9971
-1.0198 -1.7664 5.9971
Tc S O
1 2 1
Direct
0.5000 0.5000 0.5000 Tc
0.9034 0.9034 0.9034 S
0.0966 0.0966 0.0966 S
0.0000 0.0000 0.0000 O
```

Computed properties:
E_form (uncorrected): -0.11 eV/atom
E_tot: -24.0 eV per cell
relative energy among the computed polymorphs: 0 meV/atom